Record 1
{"formula": "Hf4ZrIn", "functional": "PBE", "state": "relaxed", "delta_e_f_mev_per_atom": -42, "space_group": "C2/m", "lattice_angstrom": [[2.744, -4.713, 0.000], [2.744, 4.713, 0.000], [-1.851, 0.000, 5.174]], "species": ["Hf", "Hf", "Hf", "Hf", "Zr", "In"], "frac_coords": [[0.162, 0.838, 0.000], [0.332, 0.668, 0.500], [0.668, 0.332, 0.500], [0.838, 0.162, 0.000], [0.500, 0.500, 0.000], [0.000, 0.000, 0.500]]}

---

Record 2
{"formula": "Li3RuF8", "functional": "PBE", "state": "relaxed", "formation_energy_uncorrected_ev_per_atom": -2.19, "space_group": "Pm-3m", "lattice_angstrom": [[4.964, 0.000, 0.000], [0.000, 4.964, 0.000], [0.000, 0.000, 4.964]], "species": ["Li", "Li", "Li", "Ru", "F", "F", "F", "F", "F", "F", "F", "F"], "frac_coords": [[0.000, 0.000, 0.500], [0.000, 0.500, 0.000], [0.500, 0.000, 0.000], [0.500, 0.500, 0.500], [0.264, 0.264, 0.264], [0.264, 0.264, 0.736], [0.264, 0.736, 0.264], [0.264, 0.736, 0.736], [0.736, 0.264, 0.264], [0.736, 0.264, 0.736], [0.736, 0.736, 0.264], [0.736, 0.736, 0.736]]}

---

Record 3
{"formula": "SmAlP", "functional": "PBE", "state": "relaxed", "delta_e_f_mev_per_atom": -783, "space_group": "R-3m", "lattice_angstrom": [[2.373, 1.370, 7.665], [-2.373, 1.370, 7.665], [0.000, -2.740, 7.665]], "species": ["Sm", "Sm", "Al", "Al", "P", "P"], "frac_coords": [[0.094, 0.094, 0.094], [0.906, 0.906, 0.906], [0.322, 0.322, 0.322], [0.678, 0.678, 0.678], [0.218, 0.218, 0.218], [0.782, 0.782, 0.782]]}

---

Record 4
{"formula": "Fe3RhCl", "functional": "PBE", "state": "relaxed", "formation_energy_uncorrected_ev_per_atom": 1.08, "space_group": "Pm-3m", "lattice_angstrom": [[4.700, 0.000, 0.000], [0.000, 4.700, 0.000], [0.000, 0.000, 4.700]], "species": ["Fe", "Fe", "Fe", "Rh", "Cl"], "frac_coords": [[0.000, 0.000, 0.500], [0.000, 0.500, 0.000], [0.500, 0.000, 0.000], [0.000, 0.000, 0.000], [0.500, 0.500, 0.500]]}

---

Record 5
{"formula": "BeOs2Rh", "functional": "PBE", "state": "relaxed", "delta_e_f_mev_per_atom": 4, "space_group": "P4/mmm", "lattice_angstrom": [[2.767, 0.000, 0.000], [0.000, 2.767, 0.000], [0.000, 0.000, 6.566]], "species": ["Be", "Os", "Os", "Rh"], "frac_coords": [[0.000, 0.000, 0.000], [0.500, 0.500, 0.210], [0.500, 0.500, 0.790], [0.000, 0.000, 0.500]]}

---

Record 6
{"formula": "Mg2SbPb", "functional": "PBE", "state": "relaxed", "formation_energy_uncorrected_ev_per_atom": -0.09, "space_group": "Pmm2", "lattice_angstrom": [[3.389, 0.000, 0.000], [0.000, 4.343, 0.000], [0.000, 0.000, 7.183]], "species": ["Mg", "Mg", "Sb", "Pb"], "frac_coords": [[0.000, 0.000, 0.000], [0.500, 0.500, 0.247], [0.500, 0.500, 0.828], [0.000, 0.000, 0.476]]}

---

| no. | V (Å³/f.u.) | raw total energy (eV per atom) |
| --- | --- | --- |
| 1 | 133.8 | -8.558 |
| 2 | 122.3 | -4.686 |
| 3 | 74.8 | -5.407 |
| 4 | 103.8 | -5.833 |
| 5 | 50.3 | -8.381 |
| 6 | 105.7 | -2.846 |